! AcLaTb4, optimized geometry, DFT PBE-GGA; values from VASP
! Raw total energy, eV per atom: -4.331
&SYSTEM
  ibrav = 0, nat = 6, ntyp = 3
/
ATOMIC_SPECIES
Ac 227.00 Ac.upf
La 138.91 La.upf
Tb 158.93 Tb.upf
ATOMIC_POSITIONS crystal
Ac 0.0000 0.0000 0.0000
La 0.2500 0.2500 0.2500
Tb 0.6246 0.1261 0.6246
Tb 0.6246 0.6246 0.1261
Tb 0.6246 0.6246 0.6246
Tb 0.1261 0.6246 0.6246
CELL_PARAMETERS angstrom
6.7715 0.0000 0.0000
3.3857 5.8643 0.0000
3.3857 1.9548 5.5289